Record 1
# RbGa2F, relaxed, DFT GGA-PBE
# Energy above the most stable polymorph in this dataset, eV per atom: 0.8633
# Spin magnetization, μB/cell: 0.0
# Formation energy (no corrections), meV/atom: -144
data_RbGa2F
_chemical_formula_sum 'Rb4 Ga8 F4'
_symmetry_space_group_name_H-M 'F m -3 m'
_symmetry_Int_Tables_number 225
_symmetry_space_group_name_Hall '-F 4 2 3'
_cell_length_a 7.5704
_cell_length_b 7.5704
_cell_length_c 7.5704
_cell_angle_alpha 90.00
_cell_angle_beta 90.00
_cell_angle_gamma 90.00
loop_
_atom_site_label
_atom_site_fract_x
_atom_site_fract_y
_atom_site_fract_z
Rb1 0.0000 0.0000 0.0000
Ga1 0.2500 0.2500 0.2500
F1 0.0000 0.0000 0.5000

=====

Record 2
# RbGa2F, relaxed, DFT GGA-PBE
# Energy above the most stable polymorph in this dataset, eV per atom: 0.0000
# Spin magnetization, μB/cell: 0.0
# Formation energy (no corrections), meV/atom: -1007
data_RbGa2F
_chemical_formula_sum 'Rb4 Ga8 F4'
_symmetry_space_group_name_H-M 'I -4 2 d'
_symmetry_Int_Tables_number 122
_symmetry_space_group_name_Hall 'I -4 2bw'
_cell_length_a 3.7927
_cell_length_b 3.7927
_cell_length_c 32.8174
_cell_angle_alpha 90.00
_cell_angle_beta 90.00
_cell_angle_gamma 90.00
loop_
_atom_site_label
_atom_site_fract_x
_atom_site_fract_y
_atom_site_fract_z
Rb1 0.0000 0.0000 0.0000
Ga1 0.2489 0.2500 0.6250
F1 0.0000 0.0000 0.5000